No. 1
The following is a DFT calculation (PBE) of a relaxed structure of AcTmGa2Rh2.

extended XYZ file:
```
6
Lattice="4.480 0.000 0.000 -2.240 3.879 0.000 0.000 0.000 7.410" Properties=species:S:1:pos:R:3 pbc="T T T"
Rh 0.000 2.586 5.110
Rh 2.240 1.293 2.300
Ga 2.240 1.293 5.208
Ga 0.000 2.586 2.202
Tm 0.000 0.000 3.705
Ac 0.000 0.000 0.000
```


No. 2
The following is a DFT calculation (PBE) of a relaxed structure of Rb3SrEr2Te6.

extended XYZ file:
```
12
Lattice="-1.048 -2.689 -7.385 0.866 -5.109 6.001 -8.494 2.599 1.684" Properties=species:S:1:pos:R:3 pbc="T T T"
Er -0.412 -3.494 -2.932
Sr 0.000 0.000 0.000
Rb -4.988 -1.778 -4.395
Rb -4.339 -2.600 0.150
Te -6.842 -0.172 0.947
Er 0.229 -4.304 1.548
Te -1.428 -1.821 2.382
Te -6.568 -4.239 2.680
Rb -3.689 -3.421 4.696
Te -7.249 -3.378 -2.081
Te -2.109 -0.960 -2.379
Te -1.835 -5.028 -0.646
```

formation energy from raw total energies = -1.293 eV/atom


No. 3
The following is a DFT calculation (PBE) of a relaxed structure of Rb2LaPrS4.

extended XYZ file:
```
8
Lattice="4.291 0.000 0.000 0.000 7.433 0.126 0.000 -2.607 7.666" Properties=species:S:1:pos:R:3 pbc="T T T"
Rb 0.000 2.413 3.896
S 2.146 3.599 6.247
Rb 2.146 -1.304 3.833
S 0.000 -0.091 6.182
Pr 2.146 3.716 0.063
S 2.146 1.226 1.546
S 0.000 4.916 1.610
La 0.000 0.000 0.000
```

formation energy from raw total energies = -1.858 eV/atom


These records have raw total energy values of -5.70 -4.01 -5.38 eV per atom, in the order they appear.
These records have N(E_F) values of 3.96 8.40 0.00 states/eV per cell, in the order they appear.